# Na4Np3ScS8, relaxed, DFT PBE
data_Na4Np3ScS8
_chemical_formula_sum 'Na12 Np9 Sc3 S24'
_cell_length_a 7.9110
_cell_length_b 7.9110
_cell_length_c 19.9660
_cell_angle_alpha 90.00
_cell_angle_beta 90.00
_cell_angle_gamma 120.00
_symmetry_space_group_name_H-M 'R -3 m'
_symmetry_Int_Tables_number 166
_symmetry_space_group_name_Hall '-R 3 2"'
loop_
_atom_site_label
_atom_site_type_symbol
_atom_site_fract_x
_atom_site_fract_y
_atom_site_fract_z
Na1 Na 0.0000 0.0000 0.0000
Na2 Na 0.0000 0.5000 0.0000
Np1 Np 0.0000 0.5000 0.5000
Sc1 Sc 0.0000 0.0000 0.5000
S1 S 0.0000 0.0000 0.2426
S2 S 0.0110 0.5055 0.2411
# Theoretical density   5.08 g/cm3
# Calculated total energy   -6.66 eV per atom
# Raw formation energy   -23.04 eV/f.u.
# Magnetization   36.001 μB/cell
# Density of states at the Fermi level   90.84 states/eV/cell

=====

# Na4Np3SeS8, relaxed, DFT PBE
data_Na4Np3SeS8
_chemical_formula_sum 'Na8 Np6 Se2 S16'
_cell_length_a 14.564
_cell_length_b 7.860
_cell_length_c 7.946
_cell_angle_alpha 90.00
_cell_angle_beta 122.62
_cell_angle_gamma 90.00
_symmetry_space_group_name_H-M 'C 1 2/m 1'
_symmetry_Int_Tables_number 12
loop_
_symmetry_equiv_pos_as_xyz
'x,y,z'
'-x,-y,-z'
'-x,y,-z'
'x,-y,z'
'x+1/2,y+1/2,z'
'-x+1/2,-y+1/2,-z'
'-x+1/2,y+1/2,-z'
'x+1/2,-y+1/2,z'
loop_
_atom_site_label
_atom_site_type_symbol
_atom_site_fract_x
_atom_site_fract_y
_atom_site_fract_z
Na1 Na 0.000 0.000 0.000
Na2 Na 0.000 0.500 0.000
Na3 Na 0.250 0.250 0.000
Np1 Np 0.000 0.000 0.500
Np2 Np 0.250 0.250 0.500
Se1 Se 0.000 0.500 0.500
S1 S 0.020 0.265 0.296
S2 S 0.217 0.000 0.241
S3 S 0.232 0.000 0.725
# Theoretical density   4.94 g/cm3
# Calculated total energy   -6.10 eV per atom
# Raw formation energy   -17.01 eV/f.u.
# Magnetization   7.043 μB/cell
# Density of states at the Fermi level   47.16 states/eV/cell